PmBeAs2: optimized geometry, GGA-PBE.

The space group is P4/mmm. The value obtained for the total energy is -19.020 eV for the cell shown. Its energy of formation is -120 kJ/mol of formula units. The calculation puts the magnetization at 0.00 μB/f.u. The energy relative to the lowest polymorph listed for this composition comes out at 0.402 eV per atom.

```
4
Lattice="3.978 0.000 0.000 0.000 4.432 0.000 0.000 0.000 4.432" Properties=species:S:1:pos:R:3 pbc="T T T"
Be 1.989 2.216 2.216
As 0.000 0.000 2.216
As 0.000 2.216 0.000
Pm 1.989 0.000 0.000
```